No. 1
Compound: La3YHf
Source: Alexandria
Functional: PBE
Structure: relaxed

Summary:
E_form	1.09	eV/atom
energy above the lowest structure with this stoichiometry	515.3	meV/atom
total moment	0.0	Bohr magnetons per cell

a = 5.7073 Å, b = 5.7073 Å, c = 5.7073 Å
α = 90.00°, β = 90.00°, γ = 90.00°
With the nearest neighbours (Å) after each atom.
Fractional positions:
La 0.0000 0.5000 0.0000  2 Y 2.85
La 0.0000 0.0000 0.5000  2 Y 2.85
La 0.5000 0.0000 0.0000  2 Y 2.85
Y 0.0000 0.0000 0.0000  6 La 2.85
Hf 0.5000 0.5000 0.5000  12 La 4.04

=====

No. 2
Compound: ScBTe3
Source: Alexandria
Functional: PBE
Structure: relaxed

Summary:
formation energy from raw total energies	727.2	meV per atom
energy above the lowest structure with this stoichiometry	458.4	meV/atom
total moment	0.0	Bohr magnetons per cell

a = 5.5369 Å, b = 5.5369 Å, c = 5.5369 Å
α = 90.00°, β = 90.00°, γ = 90.00°
With the nearest neighbours (Å) after each atom.
Fractional positions:
Te 0.0000 0.0000 0.5000  2 Sc 2.77
Te 0.0000 0.5000 0.0000  2 Sc 2.77
Te 0.5000 0.0000 0.0000  2 Sc 2.77
B 0.5000 0.5000 0.5000  12 Te 3.92
Sc 0.0000 0.0000 0.0000  6 Te 2.77

=====

No. 3
Compound: SrCr2Ni
Source: Alexandria
Functional: PBE
Structure: relaxed

Summary:
E_form	0.72	eV/atom
energy above the lowest structure with this stoichiometry	326.8	meV/atom
total moment	0.1	Bohr magnetons per cell

a = 4.7789 Å, b = 4.7789 Å, c = 4.7789 Å
α = 120.87°, β = 120.87°, γ = 88.50°
With the nearest neighbours (Å) after each atom.
Fractional positions:
Cr 0.2500 0.7500 0.5000  4 Cr 2.91, 4 Ni 2.91
Cr 0.0000 0.0000 0.0000  4 Cr 2.91, 4 Sr 2.91
Sr 0.7500 0.2500 0.5000  4 Cr 2.91, 4 Ni 2.91
Ni 0.5000 0.5000 0.0000  4 Sr 2.91, 4 Cr 2.91

=====

No. 4
Compound: MgInRu2C
Source: Alexandria
Functional: PBE
Structure: relaxed

Summary:
E_form	0.05	eV/atom
total moment	0.0	Bohr magnetons per cell

a = 4.1247 Å, b = 4.1247 Å, c = 4.2293 Å
α = 90.00°, β = 90.00°, γ = 90.00°
With the nearest neighbours (Å) after each atom.
Fractional positions:
Ru 0.5000 0.0000 0.0000  2 C 2.06
Ru 0.0000 0.5000 0.0000  2 C 2.06
C 0.0000 0.0000 0.0000  4 Ru 2.06, 2 Mg 2.11
Mg 0.0000 0.0000 0.5000  2 C 2.11
In 0.5000 0.5000 0.5000  4 Mg 2.92, 8 Ru 2.95

=====

No. 5
Compound: Sr3LiB2S6
Source: Alexandria
Functional: PBE
Structure: relaxed

Summary:
formation energy from raw total energies	-1186.8	meV per atom
total moment	0.0	Bohr magnetons per cell

a = 6.5941 Å, b = 6.5941 Å, c = 7.7061 Å
α = 90.00°, β = 90.00°, γ = 120.00°
With the nearest neighbours (Å) after each atom.
Fractional positions:
S 0.1748 0.8252 0.2842  1 B 1.82
S 0.8252 0.1748 0.7158  1 B 1.82
S 0.1748 0.3496 0.2842  1 B 1.82
S 0.6504 0.8252 0.2842  1 B 1.82
S 0.3496 0.1748 0.7158  1 B 1.82
S 0.8252 0.6504 0.7158  1 B 1.82
Li 0.0000 0.0000 0.5000  6 S 2.60
Sr 0.6667 0.3333 0.3667  1 B 2.87
Sr 0.0000 0.0000 0.0000  6 S 2.96
Sr 0.3333 0.6667 0.6333  1 B 2.87
B 0.6667 0.3333 0.7396  3 S 1.82
B 0.3333 0.6667 0.2604  3 S 1.82

=====

No. 6
Compound: RbBi2S4
Source: Alexandria
Functional: PBE
Structure: relaxed

Summary:
formation energy from raw total energies	-441.1	meV per atom
energy above the lowest structure with this stoichiometry	0.0	meV/atom
total moment	0.8	Bohr magnetons per cell

a = 4.0770 Å, b = 7.0805 Å, c = 14.4223 Å
α = 90.00°, β = 90.00°, γ = 106.73°
With the nearest neighbours (Å) after each atom.
Fractional positions:
S 0.2324 0.4648 0.6041  3 Bi 2.76-2.79
S 0.5000 0.0000 0.0000  4 Bi 2.92
S 0.9129 0.8257 0.7500  2 Bi 2.72
S 0.0871 0.1743 0.2500  2 Bi 2.72
S 0.5000 0.0000 0.5000  4 Bi 2.92
S 0.7676 0.5352 0.3959  3 Bi 2.76-2.79
S 0.2324 0.4648 0.8959  3 Bi 2.76-2.79
S 0.7676 0.5352 0.1041  3 Bi 2.76-2.79
Bi 0.1363 0.2726 0.4329  6 S 2.72-2.92
Bi 0.8637 0.7274 0.9329  6 S 2.72-2.92
Bi 0.8637 0.7274 0.5671  6 S 2.72-2.92
Bi 0.1363 0.2726 0.0671  6 S 2.72-2.92
Rb 0.6062 0.2123 0.7500  6 S 3.32-3.39
Rb 0.3938 0.7877 0.2500  6 S 3.32-3.39

=====

No. 7
Compound: KBaIr2
Source: Alexandria
Functional: PBE
Structure: relaxed

Summary:
E_form	0.21	eV/atom
energy above the lowest structure with this stoichiometry	144.9	meV/atom
total moment	0.0	Bohr magnetons per cell

a = 5.9179 Å, b = 5.9179 Å, c = 5.9179 Å
α = 135.87°, β = 124.18°, γ = 73.77°
With the nearest neighbours (Å) after each atom.
Fractional positions:
Ir 0.8304 0.3304 0.5000  2 Ir 2.38
Ir 0.9196 0.9196 0.0000  2 Ir 2.38
Ba 0.2232 0.7232 0.5000  4 K 3.34-3.63, 9 Ir 3.34-3.72
K 0.5268 0.5268 0.0000  4 Ba 3.34-3.63, 9 Ir 3.34-3.72

=====

No. 8
Compound: Tm12BiPt6
Source: Alexandria
Functional: PBE
Structure: relaxed

Summary:
E_form	-0.91	eV/atom
total moment	0.0	Bohr magnetons per cell

a = 8.5767 Å, b = 8.5767 Å, c = 8.5767 Å
α = 109.47°, β = 109.47°, γ = 109.47°
With the nearest neighbours (Å) after each atom.
Fractional positions:
Pt 0.6391 0.5000 0.1391  2 Tm 2.65, 1 Pt 2.76
Pt 0.3609 0.5000 0.8609  2 Tm 2.65, 1 Pt 2.76
Pt 0.8609 0.3609 0.5000  2 Tm 2.65, 1 Pt 2.76
Pt 0.5000 0.1391 0.6391  2 Tm 2.65, 1 Pt 2.76
Pt 0.1391 0.6391 0.5000  2 Tm 2.65, 1 Pt 2.76
Pt 0.5000 0.8609 0.3609  2 Tm 2.65, 1 Pt 2.76
Tm 0.8793 0.1814 0.6979  1 Pt 2.65
Tm 0.3021 0.1207 0.8186  1 Pt 2.65
Tm 0.1814 0.3021 0.4835  1 Pt 2.65
Tm 0.4835 0.1814 0.3021  1 Pt 2.65
Tm 0.8186 0.3021 0.1207  1 Pt 2.65
Tm 0.1814 0.6979 0.8793  1 Pt 2.65
Tm 0.6979 0.5165 0.8186  1 Pt 2.65
Tm 0.1207 0.8186 0.3021  1 Pt 2.65
Tm 0.3021 0.4835 0.1814  1 Pt 2.65
Tm 0.5165 0.8186 0.6979  1 Pt 2.65
Tm 0.6979 0.8793 0.1814  1 Pt 2.65
Tm 0.8186 0.6979 0.5165  1 Pt 2.65
Bi 0.0000 0.0000 0.0000  12 Tm 3.49

=====

No. 9
Compound: Pm5Ho2Pb4
Source: Alexandria
Functional: PBE
Structure: relaxed

Summary:
E_form	-0.28	eV/atom
total moment	0.0	Bohr magnetons per cell

a = 3.7623 Å, b = 10.2106 Å, c = 9.4549 Å
α = 82.41°, β = 101.48°, γ = 90.00°
With the nearest neighbours (Å) after each atom.
Fractional positions:
Ho 0.8180 0.8987 0.6360  2 Pb 3.18-3.30, 1 Pm 3.40
Ho 0.1820 0.1013 0.3640  2 Pb 3.18-3.30, 1 Pm 3.40
Pb 0.2235 0.3938 0.4470  2 Pb 3.13, 4 Pm 3.17-3.22, 1 Ho 3.18
Pb 0.7765 0.6062 0.5530  2 Pb 3.13, 4 Pm 3.17-3.22, 1 Ho 3.18
Pb 0.0167 0.2694 0.0335  1 Ho 3.30, 7 Pm 3.34-3.44
Pb 0.9833 0.7306 0.9665  1 Ho 3.30, 7 Pm 3.34-3.44
Pm 0.4095 0.5000 0.8191  6 Pb 3.17-3.44, 1 Pm 3.35
Pm 0.1581 0.7772 0.3161  3 Pb 3.22-3.34, 1 Ho 3.40
Pm 0.5905 0.5000 0.1809  6 Pb 3.17-3.44, 1 Pm 3.35
Pm 0.5000 0.0000 0.0000  4 Pb 3.38, 2 Pm 3.76
Pm 0.8419 0.2228 0.6839  3 Pb 3.22-3.34, 1 Ho 3.40

=====

No. 10
Compound: Y5NiIr4
Source: Alexandria
Functional: PBE
Structure: relaxed

Summary:
E_form	-0.70	eV/atom
total moment	0.0	Bohr magnetons per cell

a = 3.3887 Å, b = 3.3887 Å, c = 17.5943 Å
α = 90.00°, β = 90.00°, γ = 90.00°
With the nearest neighbours (Å) after each atom.
Fractional positions:
Y 0.5000 0.5000 0.7009  8 Ir 2.97-2.99
Y 0.5000 0.5000 0.2991  8 Ir 2.97-2.99
Y 0.5000 0.5000 0.9005  4 Ir 2.95, 4 Ni 2.97
Y 0.5000 0.5000 0.5000  8 Ir 2.98
Y 0.5000 0.5000 0.0995  4 Ir 2.95, 4 Ni 2.97
Ir 0.0000 0.0000 0.3993  8 Y 2.97-2.98
Ir 0.0000 0.0000 0.8029  8 Y 2.95-2.99
Ir 0.0000 0.0000 0.6007  8 Y 2.97-2.98
Ir 0.0000 0.0000 0.1971  8 Y 2.95-2.99
Ni 0.0000 0.0000 0.0000  8 Y 2.97

=====

No. 11
Compound: Pr4Bi3N
Source: Alexandria
Functional: PBE
Structure: relaxed

Summary:
formation energy from raw total energies	-769.9	meV per atom
total moment	0.0	Bohr magnetons per cell

a = 6.5492 Å, b = 8.9384 Å, c = 10.1915 Å
α = 90.00°, β = 90.00°, γ = 90.00°
With the nearest neighbours (Å) after each atom.
Fractional positions:
Bi 0.0593 0.1620 0.5000  5 Pr 3.11-3.40
Bi 0.0596 0.6616 0.7699  5 Pr 3.12-3.43
Bi 0.5596 0.3384 0.2699  5 Pr 3.12-3.43
Bi 0.5596 0.3384 0.7301  5 Pr 3.12-3.43
Bi 0.5593 0.8380 0.0000  5 Pr 3.11-3.40
Bi 0.0596 0.6616 0.2301  5 Pr 3.12-3.43
Pr 0.5702 0.0922 0.5000  1 N 2.47
Pr 0.1326 0.8182 0.5000  1 N 2.35
Pr 0.5711 0.6962 0.7064  1 N 2.44
Pr 0.0711 0.3038 0.7936  1 N 2.44
Pr 0.6326 0.1818 0.0000  1 N 2.35
Pr 0.5711 0.6962 0.2936  1 N 2.44
Pr 0.0711 0.3038 0.2064  1 N 2.44
Pr 0.0702 0.9078 0.0000  1 N 2.47
N 0.9918 0.1782 0.0000  4 Pr 2.35-2.47
N 0.4918 0.8218 0.5000  4 Pr 2.35-2.47